Computed, not measured: AlCoN2O after structural relaxation at the PBE+U level of DFT.

Values from the calculation:
**Space-group type**: P4/mmm
**E**: -26.89 eV/cell

Cell lengths 3.583, 3.583, 3.873 Å; angles 90.00, 90.00, 90.00 degrees
Sites, in units of the cell vectors:
Al1 0.000 0.000 0.000
Co1 0.500 0.500 0.500
N1 0.000 0.500 0.500
N2 0.500 0.000 0.500
O1 0.500 0.500 0.000